Record 1
The following is a PBE-GGA calculation of an optimized crystal structure of PrBiO3, from Alexandria via LeMat-Bulk.

## Properties
- energy relative to the elements, uncorrected (eV/atom) = -1.5038
- DOS(E_F) (states/eV/f.u.) = 2.10

Cell: 4.445 4.445 4.445 Å, 90.00 90.00 90.00°
Sites, in units of the cell vectors:
1 Pr 0.000 0.000 0.000
2 Bi 0.500 0.500 0.500
3 O 0.000 0.500 0.500
4 O 0.500 0.000 0.500
5 O 0.500 0.500 0.000

---

Record 2
The following is a PBE-GGA calculation of an optimized crystal structure of LaNiTe2, from Alexandria via LeMat-Bulk.

## Properties
- energy relative to the elements, uncorrected (eV/atom) = -0.2334
- DOS(E_F) (states/eV/f.u.) = 4.61

Cell: 9.480 9.480 9.480 Å, 23.08 23.08 23.08°
Sites, in units of the cell vectors:
1 La 0.000 0.000 0.000
2 Ni 0.500 0.500 0.500
3 Te 0.116 0.116 0.116
4 Te 0.884 0.884 0.884

---

Record 3
The following is a PBE-GGA calculation of an optimized crystal structure of Ac3SnSe, from Alexandria via LeMat-Bulk.

## Properties
- energy relative to the elements, uncorrected (eV/atom) = -0.8467
- DOS(E_F) (states/eV/f.u.) = 5.74

Cell: 10.128 7.192 11.405 Å, 90.00 112.17 90.00°
Sites, in units of the cell vectors:
1 Ac 0.045 0.095 0.325
2 Ac 0.045 0.405 0.825
3 Ac 0.196 0.598 0.533
4 Ac 0.196 0.902 0.033
5 Ac 0.412 0.200 0.830
6 Ac 0.412 0.300 0.330
7 Ac 0.588 0.700 0.670
8 Ac 0.588 0.800 0.170
9 Ac 0.804 0.098 0.967
10 Ac 0.804 0.402 0.467
11 Ac 0.955 0.595 0.175
12 Ac 0.955 0.905 0.675
13 Sn 0.351 0.704 0.843
14 Sn 0.351 0.796 0.343
15 Sn 0.649 0.204 0.657
16 Sn 0.649 0.296 0.157
17 Se 0.109 0.222 0.602
18 Se 0.109 0.278 0.102
19 Se 0.891 0.722 0.898
20 Se 0.891 0.778 0.398

---

Record 4
The following is a PBE-GGA calculation of an optimized crystal structure of CuP2H12N2O8F2, from Alexandria via LeMat-Bulk.

## Properties
- DOS(E_F) (states/eV/f.u.) = 4.00
- uncorrected energy (eV per atom) = -5.51

Cell: 7.320 7.320 7.428 Å, 110.83 110.83 42.29°
Sites, in units of the cell vectors:
1 Cu 0.000 0.000 0.000
2 P 0.367 0.367 0.786
3 P 0.633 0.633 0.214
4 H 0.120 0.817 0.648
5 H 0.183 0.880 0.352
6 H 0.200 0.512 0.180
7 H 0.249 0.249 0.186
8 H 0.365 0.365 0.388
9 H 0.488 0.800 0.820
10 H 0.512 0.200 0.180
11 H 0.635 0.635 0.612
12 H 0.751 0.751 0.814
13 H 0.800 0.488 0.820
14 H 0.817 0.120 0.648
15 H 0.880 0.183 0.352
16 N 0.331 0.331 0.235
17 N 0.669 0.669 0.765
18 O 0.011 0.011 0.707
19 O 0.139 0.620 0.908
20 O 0.380 0.861 0.092
21 O 0.424 0.424 0.645
22 O 0.576 0.576 0.355
23 O 0.620 0.139 0.908
24 O 0.861 0.380 0.092
25 O 0.989 0.989 0.293
26 F 0.242 0.242 0.648
27 F 0.758 0.758 0.352

---

Record 5
The following is a PBE-GGA calculation of an optimized crystal structure of HgPbW3, from Alexandria via LeMat-Bulk.

## Properties
- relative energy among the computed polymorphs (meV per atom) = 0
- DOS(E_F) (states/eV/f.u.) = 10.23
- ΔH_f (0 K) (eV per atom) = 2.907

Cell: 4.986 4.986 4.986 Å, 90.00 90.00 90.00°
Sites, in units of the cell vectors:
1 Hg 0.000 0.000 0.000
2 Pb 0.500 0.500 0.500
3 W 0.000 0.000 0.500
4 W 0.000 0.500 0.000
5 W 0.500 0.000 0.000

---

Record 6
The following is a PBE-GGA calculation of an optimized crystal structure of Al3Ag8, from Alexandria via LeMat-Bulk.

## Properties
- relative energy among the computed polymorphs (meV per atom) = 0
- DOS(E_F) (states/eV/f.u.) = 2.21
- ΔH_f (0 K) (eV per atom) = -0.045

Cell: 5.096 5.096 10.669 Å, 103.98 103.98 44.76°
Sites, in units of the cell vectors:
1 Al 0.000 0.000 0.000
2 Al 0.093 0.093 0.638
3 Al 0.907 0.907 0.362
4 Ag 0.186 0.186 0.275
5 Ag 0.280 0.280 0.912
6 Ag 0.370 0.370 0.544
7 Ag 0.454 0.454 0.183
8 Ag 0.546 0.546 0.817
9 Ag 0.630 0.630 0.456
10 Ag 0.720 0.720 0.088
11 Ag 0.814 0.814 0.725

---

Record 7
The following is a PBE-GGA calculation of an optimized crystal structure of TbErZn2, from Alexandria via LeMat-Bulk.

## Properties
- DOS(E_F) (states/eV/f.u.) = 4.99
- ΔH_f (0 K) (eV per atom) = -0.127

Cell: 9.167 9.167 9.167 Å, 22.56 22.56 22.56°
Sites, in units of the cell vectors:
1 Tb 0.000 0.000 0.000
2 Er 0.500 0.500 0.500
3 Zn 0.249 0.249 0.249
4 Zn 0.751 0.751 0.751

---

Record 8
The following is a PBE-GGA calculation of an optimized crystal structure of CuSiSeBr2, from Alexandria via LeMat-Bulk.

## Properties
- energy relative to the elements, uncorrected (eV/atom) = 0.3598
- relative energy among the computed polymorphs (meV per atom) = 0
- DOS(E_F) (states/eV/f.u.) = 4.59

Cell: 5.046 5.046 4.970 Å, 90.00 90.00 90.00°
Sites, in units of the cell vectors:
1 Cu 0.000 0.000 0.000
2 Si 0.500 0.500 0.500
3 Se 0.500 0.500 0.000
4 Br 0.000 0.500 0.500
5 Br 0.500 0.000 0.500

---

Record 9
The following is a PBE-GGA calculation of an optimized crystal structure of CrInCl2, from Alexandria via LeMat-Bulk.

## Properties
- energy relative to the elements, uncorrected (eV/atom) = -0.3781
- relative energy among the computed polymorphs (meV per atom) = 155
- DOS(E_F) (states/eV/f.u.) = 0.00

Cell: 8.654 8.654 8.654 Å, 30.53 30.53 30.53°
Sites, in units of the cell vectors:
1 Cr 0.000 0.000 0.000
2 In 0.500 0.500 0.500
3 Cl 0.093 0.093 0.093
4 Cl 0.907 0.907 0.907

---

Record 10
The following is a PBE-GGA calculation of an optimized crystal structure of Ac3Ag5Se12, from Alexandria via LeMat-Bulk.

## Properties
- energy relative to the elements, uncorrected (eV/atom) = -0.5959
- DOS(E_F) (states/eV/f.u.) = 17.25

Cell: 14.408 14.408 14.408 Å, 109.47 109.47 109.47°
Sites, in units of the cell vectors:
1 Ac 0.125 0.250 0.375
2 Ac 0.125 0.375 0.750
3 Ac 0.250 0.375 0.125
4 Ac 0.250 0.875 0.625
5 Ac 0.375 0.125 0.250
6 Ac 0.375 0.750 0.125
7 Ac 0.625 0.250 0.875
8 Ac 0.625 0.875 0.750
9 Ac 0.750 0.125 0.375
10 Ac 0.750 0.625 0.875
11 Ac 0.875 0.625 0.250
12 Ac 0.875 0.750 0.625
13 Ag 0.000 0.000 0.000
14 Ag 0.000 0.000 0.500
15 Ag 0.000 0.500 0.000
16 Ag 0.000 0.500 0.500
17 Ag 0.125 0.750 0.875
18 Ag 0.125 0.875 0.250
19 Ag 0.250 0.125 0.875
20 Ag 0.250 0.625 0.375
21 Ag 0.375 0.250 0.625
22 Ag 0.375 0.625 0.750
23 Ag 0.500 0.000 0.000
24 Ag 0.500 0.000 0.500
25 Ag 0.500 0.500 0.000
26 Ag 0.500 0.500 0.500
27 Ag 0.625 0.375 0.250
28 Ag 0.625 0.750 0.375
29 Ag 0.750 0.375 0.625
30 Ag 0.750 0.875 0.125
31 Ag 0.875 0.125 0.750
32 Ag 0.875 0.250 0.125
33 Se 0.035 0.205 0.123
34 Se 0.035 0.330 0.912
35 Se 0.082 0.705 0.670
36 Se 0.082 0.877 0.412
37 Se 0.088 0.623 0.418
38 Se 0.088 0.965 0.670
39 Se 0.123 0.035 0.205
40 Se 0.123 0.588 0.918
41 Se 0.170 0.205 0.582
42 Se 0.170 0.465 0.588
43 Se 0.205 0.123 0.035
44 Se 0.205 0.582 0.170
45 Se 0.295 0.330 0.918
46 Se 0.295 0.465 0.377
47 Se 0.330 0.912 0.035
48 Se 0.330 0.918 0.295
49 Se 0.377 0.295 0.465
50 Se 0.377 0.582 0.912
51 Se 0.412 0.082 0.877
52 Se 0.412 0.830 0.535
53 Se 0.418 0.088 0.623
54 Se 0.418 0.830 0.795
55 Se 0.465 0.377 0.295
56 Se 0.465 0.588 0.170
57 Se 0.535 0.412 0.830
58 Se 0.535 0.623 0.705
59 Se 0.582 0.170 0.205
60 Se 0.582 0.912 0.377
61 Se 0.588 0.170 0.465
62 Se 0.588 0.918 0.123
63 Se 0.623 0.418 0.088
64 Se 0.623 0.705 0.535
65 Se 0.670 0.082 0.705
66 Se 0.670 0.088 0.965
67 Se 0.705 0.535 0.623
68 Se 0.705 0.670 0.082
69 Se 0.795 0.418 0.830
70 Se 0.795 0.877 0.965
71 Se 0.830 0.535 0.412
72 Se 0.830 0.795 0.418
73 Se 0.877 0.412 0.082
74 Se 0.877 0.965 0.795
75 Se 0.912 0.035 0.330
76 Se 0.912 0.377 0.582
77 Se 0.918 0.123 0.588
78 Se 0.918 0.295 0.330
79 Se 0.965 0.670 0.088
80 Se 0.965 0.795 0.877

---

Record 11
The following is a PBE-GGA calculation of an optimized crystal structure of Tm2MoC, from Alexandria via LeMat-Bulk.

## Properties
- DOS(E_F) (states/eV/f.u.) = 3.92
- ΔH_f (0 K) (eV per atom) = 0.502

Cell: 8.694 8.694 8.694 Å, 21.94 21.94 21.94°
Sites, in units of the cell vectors:
1 Tm 0.113 0.113 0.113
2 Tm 0.887 0.887 0.887
3 Mo 0.000 0.000 0.000
4 C 0.500 0.500 0.500

---

Record 12
The following is a PBE-GGA calculation of an optimized crystal structure of CaTe2Br, from Alexandria via LeMat-Bulk.

## Properties
- energy relative to the elements, uncorrected (eV/atom) = -0.3588
- relative energy among the computed polymorphs (meV per atom) = 690
- DOS(E_F) (states/eV/f.u.) = 7.15

Cell: 5.533 5.533 5.533 Å, 60.00 60.00 60.00°
Sites, in units of the cell vectors:
1 Ca 0.000 0.000 0.000
2 Te 0.250 0.250 0.250
3 Te 0.750 0.750 0.750
4 Br 0.500 0.500 0.500

---

Record 13
The following is a PBE-GGA calculation of an optimized crystal structure of ThCuAg, from Alexandria via LeMat-Bulk.

## Properties
- relative energy among the computed polymorphs (meV per atom) = 18
- DOS(E_F) (states/eV/f.u.) = 2.09
- ΔH_f (0 K) (eV per atom) = -0.135

Cell: 4.661 4.661 3.437 Å, 90.00 90.00 120.00°
Sites, in units of the cell vectors:
1 Th 0.000 0.000 0.000
2 Cu 0.667 0.333 0.500
3 Ag 0.333 0.667 0.500

---

Record 14
The following is a PBE-GGA calculation of an optimized crystal structure of AcPr2Eu, from Alexandria via LeMat-Bulk.

## Properties
- relative energy among the computed polymorphs (meV per atom) = 105
- DOS(E_F) (states/eV/f.u.) = 5.97
- ΔH_f (0 K) (eV per atom) = 0.146

Cell: 13.377 13.377 13.377 Å, 16.10 16.10 16.10°
Sites, in units of the cell vectors:
1 Ac 0.000 0.000 0.000
2 Pr 0.411 0.411 0.411
3 Pr 0.589 0.589 0.589
4 Eu 0.500 0.500 0.500

---

Record 15
The following is a PBE-GGA calculation of an optimized crystal structure of ZnH2O2, from Alexandria via LeMat-Bulk.

## Properties
- DOS(E_F) (states/eV/f.u.) = 0.00
- uncorrected energy (eV per atom) = -4.25

Cell: 5.631 5.631 2.450 Å, 90.00 90.00 90.00°
Sites, in units of the cell vectors:
1 Zn 0.000 0.000 0.000
2 Zn 0.500 0.500 0.000
3 H 0.148 0.352 0.500
4 H 0.352 0.852 0.500
5 H 0.648 0.148 0.500
6 H 0.852 0.648 0.500
7 O 0.182 0.318 0.000
8 O 0.318 0.818 0.000
9 O 0.682 0.182 0.000
10 O 0.818 0.682 0.000

---

Record 16
The following is a PBE-GGA calculation of an optimized crystal structure of BaRh2S, from Alexandria via LeMat-Bulk.

## Properties
- energy relative to the elements, uncorrected (eV/atom) = -0.5808
- DOS(E_F) (states/eV/f.u.) = 2.70

Cell: 8.437 8.437 8.437 Å, 145.02 145.02 50.31°
Sites, in units of the cell vectors:
1 Ba 0.000 0.000 0.000
2 Ba 0.750 0.250 0.500
3 Rh 0.324 0.125 0.699
4 Rh 0.375 0.676 0.801
5 Rh 0.426 0.625 0.301
6 Rh 0.875 0.574 0.199
7 S 0.250 0.750 0.500
8 S 0.500 0.500 0.000

---

Record 17
The following is a PBE-GGA calculation of an optimized crystal structure of Th8C4N3O, from Alexandria via LeMat-Bulk.

## Properties
- energy relative to the elements, uncorrected (eV/atom) = -1.1136
- DOS(E_F) (states/eV/f.u.) = 7.43

Cell: 7.425 7.425 7.425 Å, 60.46 60.46 60.46°
Sites, in units of the cell vectors:
1 Th 0.247 0.752 0.752
2 Th 0.248 0.248 0.753
3 Th 0.248 0.753 0.248
4 Th 0.249 0.249 0.249
5 Th 0.751 0.751 0.751
6 Th 0.752 0.247 0.752
7 Th 0.752 0.752 0.247
8 Th 0.753 0.248 0.248
9 C 0.000 0.000 0.000
10 C 0.000 0.500 0.500
11 C 0.500 0.000 0.500
12 C 0.500 0.500 0.000
13 N 0.000 0.000 0.500
14 N 0.000 0.500 0.000
15 N 0.500 0.000 0.000
16 O 0.500 0.500 0.500

---

Record 18
The following is a PBE-GGA calculation of an optimized crystal structure of FeCuAg2, from Alexandria via LeMat-Bulk.

## Properties
- relative energy among the computed polymorphs (meV per atom) = 0
- DOS(E_F) (states/eV/f.u.) = 2.53
- ΔH_f (0 K) (eV per atom) = 0.215

Cell: 2.777 2.777 7.795 Å, 90.00 90.00 90.00°
Sites, in units of the cell vectors:
1 Fe 0.000 0.000 0.000
2 Cu 0.500 0.500 0.793
3 Ag 0.000 0.000 0.544
4 Ag 0.500 0.500 0.256

---

Record 19
The following is a PBE-GGA calculation of an optimized crystal structure of Ba3Zn8Ag, from Alexandria via LeMat-Bulk.

## Properties
- DOS(E_F) (states/eV/f.u.) = 7.42
- ΔH_f (0 K) (eV per atom) = -0.087

Cell: 6.076 6.076 9.000 Å, 90.00 90.00 120.00°
Sites, in units of the cell vectors:
1 Ba 0.000 0.000 0.000
2 Ba 0.000 0.000 0.411
3 Ba 0.333 0.667 0.862
4 Zn 0.372 0.186 0.700
5 Zn 0.508 0.015 0.206
6 Zn 0.508 0.492 0.206
7 Zn 0.667 0.333 0.449
8 Zn 0.667 0.333 0.965
9 Zn 0.814 0.186 0.700
10 Zn 0.814 0.628 0.700
11 Zn 0.985 0.492 0.206
12 Ag 0.333 0.667 0.444

---

Record 20
The following is a PBE-GGA calculation of an optimized crystal structure of Ca2AgW, from Alexandria via LeMat-Bulk.

## Properties
- relative energy among the computed polymorphs (meV per atom) = 349
- DOS(E_F) (states/eV/f.u.) = 1.96
- ΔH_f (0 K) (eV per atom) = 0.861

Cell: 5.117 5.117 5.117 Å, 60.00 60.00 60.00°
Sites, in units of the cell vectors:
1 Ca 0.000 0.000 0.000
2 Ca 0.250 0.250 0.250
3 Ag 0.500 0.500 0.500
4 W 0.750 0.750 0.750